No. 1
Density functional theory data (PBE) for a relaxed AcCdPPd crystal.

Results
DOS(E_F)	1.636	states/eV/cell
calculated formation energy	-46.3	kJ/mol of atoms
calculated density	8.56	g cm⁻³
M_tot	0.000	μB per atom

```
AcCdPPd
1.0
-2.201 -3.233 -3.235
1.942 -4.642 -0.664
-2.477 -4.063 1.764
P Ac Pd Cd
1 1 1 1
Direct
0.500 0.500 0.500
0.250 0.250 0.250
0.000 0.000 0.000
0.750 0.750 0.750
```



No. 2
Density functional theory data (PBE) for a relaxed AcCdP2Pd4 crystal.

Results
DOS(E_F)	1.727	states/eV/cell
calculated formation energy	-63.5	kJ/mol of atoms
calculated density	8.92	g cm⁻³
M_tot	0.000	μB per atom

```
AcCdP2Pd4
1.0
-4.036 0.475 1.507
-1.578 -1.447 -3.769
0.171 -7.676 2.875
Ac Cd P Pd
1 1 2 4
Direct
0.000 0.000 0.500
0.000 0.000 0.000
0.500 0.500 0.357
0.500 0.500 0.643
0.000 0.500 0.213
0.500 0.000 0.787
0.500 0.000 0.213
0.000 0.500 0.787
```



No. 3
Density functional theory data (PBE) for a relaxed Ac3CdP2Pd9 crystal.

Results
DOS(E_F)	2.928	states/eV/cell
calculated formation energy	-68.2	kJ/mol of atoms
calculated density	8.92	g cm⁻³
M_tot	0.000	μB per atom

```
Ac3CdP2Pd9
1.0
-4.057 -3.590 -3.138
3.576 -2.504 4.488
-7.022 2.047 6.736
Ac Cd P Pd
3 1 2 9
Direct
0.333 0.667 0.697
0.000 0.000 0.000
0.667 0.333 0.303
0.000 0.000 0.500
0.333 0.667 0.157
0.667 0.333 0.843
0.848 0.152 0.721
0.848 0.696 0.721
0.304 0.152 0.721
0.696 0.848 0.279
0.152 0.304 0.279
0.152 0.848 0.279
0.500 0.000 0.000
0.000 0.500 0.000
0.500 0.500 0.000
```



No. 4
Density functional theory data (PBE) for a relaxed Ac2CdP3Pt12 crystal.

Results
DOS(E_F)	7.139	states/eV/cell
calculated formation energy	-40.9	kJ/mol of atoms
calculated density	13.38	g cm⁻³
M_tot	0.000	μB per atom

```
Ac2CdP3Pt12
1.0
7.820 -0.278 -0.197
3.620 6.937 -0.197
3.620 2.107 6.612
Ac Cd P Pt
2 1 3 12
Direct
0.610 0.610 0.610
0.390 0.390 0.390
0.000 0.000 0.000
0.500 0.000 0.000
0.000 0.500 0.000
0.000 0.000 0.500
0.337 0.337 0.901
0.872 0.872 0.385
0.385 0.872 0.872
0.901 0.337 0.337
0.872 0.385 0.872
0.337 0.901 0.337
0.663 0.663 0.099
0.128 0.128 0.615
0.615 0.128 0.128
0.099 0.663 0.663
0.128 0.615 0.128
0.663 0.099 0.663
```



No. 5
Density functional theory data (PBE) for a relaxed Ac3CdP2Pt9 crystal.

Results
DOS(E_F)	5.529	states/eV/cell
calculated formation energy	-65.1	kJ/mol of atoms
calculated density	13.13	g cm⁻³
M_tot	0.000	μB per atom

```
Ac3CdP2Pt9
1.0
-2.285 6.731 1.682
1.715 -4.710 5.314
6.756 2.324 -0.121
Ac Cd P Pt
3 1 2 9
Direct
0.333 0.667 0.666
0.000 0.000 0.000
0.667 0.333 0.334
0.000 0.000 0.500
0.333 0.667 0.131
0.667 0.333 0.869
0.814 0.186 0.678
0.814 0.629 0.678
0.371 0.186 0.678
0.629 0.814 0.322
0.186 0.371 0.322
0.186 0.814 0.322
0.500 0.000 0.000
0.000 0.500 0.000
0.500 0.500 0.000
```



No. 6
Density functional theory data (PBE) for a relaxed Ac2CdPPt6 crystal.

Results
DOS(E_F)	4.848	states/eV/cell
calculated formation energy	-80.5	kJ/mol of atoms
calculated density	13.67	g cm⁻³
M_tot	0.000	μB per atom

```
Ac2CdPPt6
1.0
6.376 0.000 0.000
3.188 5.522 0.000
3.188 1.841 12.194
Ac Cd P Pt
4 2 2 12
Direct
0.887 0.887 0.338
0.113 0.113 0.662
0.719 0.719 0.842
0.281 0.281 0.158
0.578 0.578 0.267
0.422 0.422 0.733
0.000 0.000 0.000
0.500 0.500 0.500
0.914 0.336 0.414
0.336 0.914 0.414
0.336 0.336 0.414
0.086 0.664 0.586
0.664 0.086 0.586
0.664 0.664 0.586
0.655 0.216 0.914
0.216 0.655 0.914
0.216 0.216 0.914
0.345 0.784 0.086
0.784 0.345 0.086
0.784 0.784 0.086
```